(1)
The following is a GGA-PBE calculation of a relaxed structure of AlOs2Br, from Alexandria.

Total moment, μB per atom: 0.00
D(E_F), states/eV/f.u.: 0.8
Energy relative to the elements, uncorrected, meV/atom: 426

Cell: 2.911 2.911 7.768 Å, 90.00 90.00 90.00°
Positions (direct):
Br 0.500 0.500 0.770
Os 0.000 0.000 0.028
Al 0.000 0.000 0.460
Os 0.500 0.500 0.243

=====

(2)
The following is a GGA-PBE calculation of a relaxed structure of Y2HoBe, from Alexandria.

Total moment, μB per atom: 0.00
ΔH_f (0 K), eV per atom: 0.070
D(E_F), states/eV/f.u.: 4.6

Cell: 3.474 3.474 8.596 Å, 90.00 90.00 90.00°
Positions (direct):
Be 0.500 0.500 0.000
Y 0.000 0.000 0.806
Y 0.000 0.000 0.194
Ho 0.500 0.500 0.500

=====

(3)
The following is a GGA-PBE calculation of a relaxed structure of ScMnC, from Alexandria.

Total moment, μB per atom: 0.00
ΔH_f (0 K), eV per atom: -0.190
D(E_F), states/eV/f.u.: 1.7

Cell: 3.274 5.099 4.724 Å, 90.00 90.00 90.00°
Positions (direct):
C 0.000 0.500 0.500
Mn 0.000 0.750 0.235
Sc 0.500 0.250 0.263
C 0.000 0.000 0.500
Sc 0.500 0.750 0.737
Mn 0.000 0.250 0.765

=====

(4)
The following is a GGA-PBE calculation of a relaxed structure of Ta2InO, from Alexandria.

Total moment, μB per atom: 0.00
D(E_F), states/eV/f.u.: 3.8
Energy relative to the elements, uncorrected, meV/atom: 450

Cell: 4.526 4.526 4.526 Å, 60.00 60.00 60.00°
Positions (direct):
Ta 0.250 0.250 0.250
In 0.500 0.500 0.500
Ta 0.750 0.750 0.750
O 0.000 0.000 0.000

=====

(5)
The following is a GGA-PBE calculation of a relaxed structure of LiPrInRh, from Alexandria.

Total moment, μB per atom: 0.00
ΔH_f (0 K), eV per atom: -0.460
D(E_F), states/eV/f.u.: 4.2

Cell: 4.876 4.876 4.876 Å, 60.00 60.00 60.00°
Positions (direct):
In 0.250 0.250 0.250
Rh 0.500 0.500 0.500
Li 0.000 0.000 0.000
Pr 0.750 0.750 0.750

=====

(6)
The following is a GGA-PBE calculation of a relaxed structure of AlGa2Ir, from Alexandria.

Total moment, μB per atom: 0.00
ΔH_f (0 K), eV per atom: -0.282
D(E_F), states/eV/f.u.: 0.0

Cell: 9.360 9.360 7.036 Å, 48.31 48.31 90.00°
Positions (direct):
Al 0.250 0.750 0.500
Ga 0.375 0.125 0.750
Ga 0.875 0.125 0.250
Ir 0.000 0.000 0.000
Al 0.500 0.500 0.000
Ga 0.875 0.625 0.250
Ir 0.750 0.250 0.500
Ga 0.875 0.125 0.750